Entry 1:
DFT (meta-GGA SCAN) results for a PBEsol-optimized structure of BaGa2Ge2O8.

Unit cell a=8.774 b=9.956 c=9.378 alpha=90.00 beta=90.43 gamma=90.00
Sites, in units of the cell vectors:
Ba  0.248  0.088  0.108
Ba  0.248  0.412  0.608
Ba  0.752  0.588  0.392
Ba  0.752  0.912  0.892
Ga  0.071  0.691  0.062
Ga  0.071  0.809  0.562
Ga  0.434  0.080  0.728
Ga  0.434  0.420  0.228
Ga  0.566  0.580  0.772
Ga  0.566  0.920  0.272
Ga  0.929  0.191  0.438
Ga  0.929  0.309  0.938
Ge  0.063  0.083  0.736
Ge  0.063  0.417  0.236
Ge  0.438  0.696  0.066
Ge  0.438  0.804  0.566
Ge  0.562  0.196  0.434
Ge  0.562  0.304  0.934
Ge  0.937  0.583  0.764
Ge  0.937  0.917  0.264
O  0.008  0.078  0.301
O  0.008  0.422  0.801
O  0.058  0.633  0.624
O  0.058  0.867  0.124
O  0.064  0.192  0.590
O  0.064  0.308  0.090
O  0.246  0.087  0.815
O  0.246  0.413  0.315
O  0.260  0.640  0.008
O  0.260  0.860  0.508
O  0.430  0.192  0.575
O  0.430  0.308  0.075
O  0.438  0.636  0.624
O  0.438  0.864  0.124
O  0.489  0.090  0.299
O  0.489  0.410  0.799
O  0.511  0.590  0.201
O  0.511  0.910  0.701
O  0.562  0.136  0.876
O  0.562  0.364  0.376
O  0.570  0.692  0.925
O  0.570  0.808  0.425
O  0.740  0.140  0.492
O  0.740  0.360  0.992
O  0.754  0.587  0.685
O  0.754  0.913  0.185
O  0.936  0.692  0.910
O  0.936  0.808  0.410
O  0.942  0.133  0.876
O  0.942  0.367  0.376
O  0.992  0.578  0.199
O  0.992  0.922  0.699

## Properties
Volume in Å³/cell: 819
ΔE to the lowest computed polymorph in eV per formula unit: 0.00
ΔE_f (raw) in eV per atom: -2.190



Entry 2:
DFT (meta-GGA SCAN) results for a PBEsol-optimized structure of SrMn2Re.

Unit cell a=5.294 b=5.294 c=5.294 alpha=136.26 beta=136.26 gamma=63.58
Sites, in units of the cell vectors:
Sr  0.000  0.000  0.000
Mn  0.500  0.500  0.000
Mn  0.750  0.250  0.500
Re  0.250  0.750  0.500

## Properties
Volume in Å³/cell: 70
ΔE to the lowest computed polymorph in eV per formula unit: 0.37



Entry 3:
DFT (meta-GGA SCAN) results for a PBEsol-optimized structure of ZrCrTc2Ru.

Unit cell a=4.279 b=4.279 c=4.595 alpha=90.00 beta=90.00 gamma=90.00
Sites, in units of the cell vectors:
Zr  0.000  0.000  0.000
Cr  0.000  0.000  0.500
Tc  0.000  0.500  0.500
Tc  0.500  0.000  0.500
Ru  0.500  0.500  0.000

## Properties
Volume in Å³/cell: 84
Final energy in eV per atom: -29.74



Entry 4:
DFT (meta-GGA SCAN) results for a PBEsol-optimized structure of Li3MgNi4O8.

Unit cell a=5.738 b=5.738 c=5.738 alpha=60.53 beta=60.53 gamma=60.53
Sites, in units of the cell vectors:
Li  0.000  0.500  0.500
Li  0.500  0.000  0.500
Li  0.500  0.500  0.000
Mg  0.000  0.000  0.000
Ni  0.000  0.000  0.500
Ni  0.000  0.500  0.000
Ni  0.500  0.000  0.000
Ni  0.500  0.500  0.500
O  0.232  0.748  0.748
O  0.241  0.241  0.241
O  0.252  0.252  0.768
O  0.252  0.768  0.252
O  0.748  0.232  0.748
O  0.748  0.748  0.232
O  0.759  0.759  0.759
O  0.768  0.252  0.252

## Properties
Volume in Å³/cell: 135
ΔE_f (raw) in eV per atom: -1.753



Which formula does entry 1 have?
BaGa2Ge2O8



Copy entry 2 word for word.
DFT (meta-GGA SCAN) results for a PBEsol-optimized structure of SrMn2Re.

Unit cell a=5.294 b=5.294 c=5.294 alpha=136.26 beta=136.26 gamma=63.58
Sites, in units of the cell vectors:
Sr  0.000  0.000  0.000
Mn  0.500  0.500  0.000
Mn  0.750  0.250  0.500
Re  0.250  0.750  0.500

## Properties
Volume in Å³/cell: 70
ΔE to the lowest computed polymorph in eV per formula unit: 0.37



Among the records above, which one has the lowest volume?
SrMn2Re